Entry from the Alexandria database: a relaxed structure of LiScRh2 (PBE).

Its total DFT energy (no corrections) is -6.223 eV/atom. The calculation puts the density of states at the Fermi level at 1.745 states/eV/cell.

a = 2.9166 Å, b = 3.8067 Å, c = 5.5219 Å
α = 90.00°, β = 103.58°, γ = 90.00°
Last column: nearest neighbours and their distance in Å.
Fractional coordinates of all 4 atoms:
Li  0.0000  0.0000  0.0000  4 Rh 2.44
Sc  0.0000  0.0000  0.5000  8 Rh 2.76-2.84, 2 Li 2.76, 2 Sc 2.92
Rh  0.4073  0.5000  0.2315  2 Li 2.44
Rh  0.5927  0.5000  0.7685  2 Li 2.44